1.
This record from Alexandria via LeMat-Bulk describes a relaxed structure of CoNi4Rh. The functional is PBE.

The structure in POSCAR format:
```
CoNi4Rh
1.0
4.3147 0.0000 0.0000
0.0000 4.1817 0.0261
-2.1574 -2.1492 7.7853
Co Ni Rh
2 8 2
Direct
0.5000 0.0000 0.5000
0.0000 0.5000 0.5000
0.6017 0.1607 0.8207
0.7810 0.3393 0.1793
0.3983 0.8393 0.1793
0.2190 0.6607 0.8207
0.0396 0.0818 0.6629
0.3767 0.4182 0.3371
0.9604 0.9182 0.3371
0.6233 0.5818 0.6629
0.8012 0.7500 0.0000
0.1988 0.2500 0.0000
```

Output
Fermi-level density of states ... 16.71 states/eV/cell
Energy above the lowest structure with this stoichiometry ... 0 meV/atom
Space-group type ... C2/c (15)
Uncorrected energy ... -6.1733 eV per atom
Energy of formation ... 0.090 eV per atom
Total magnetic moment ... 11.2 μB per cell

***

2.
This record from Alexandria via LeMat-Bulk describes a relaxed structure of ScSb2. The functional is PBE.

The structure in POSCAR format:
```
ScSb2
1.0
1.6150 6.3127 -0.0378
-1.6150 6.3127 -0.0378
0.0000 2.3927 8.0855
Sc Sb
2 4
Direct
0.3723 0.3723 0.5071
0.6277 0.6277 0.4929
0.7247 0.7247 0.7860
0.0329 0.0329 0.2280
0.9671 0.9671 0.7720
0.2753 0.2753 0.2140
```

Output
ΔE_f (raw) ... -371.1 meV/atom
Fermi-level density of states ... 4.78 states/eV/cell
Space-group type ... C2/m (12)
Uncorrected energy ... -5.2299 eV per atom
Total magnetic moment ... 0.0 μB per cell

***

3.
This record from Alexandria via LeMat-Bulk describes a relaxed structure of TiHg3Rh. The functional is PBE.

The structure in POSCAR format:
```
TiHg3Rh
1.0
-1.5955 -1.6715 -4.5461
3.8829 -3.3027 -0.1484
-2.8955 -3.5078 2.3060
Rh Hg Ti
1 3 1
Direct
0.0000 0.0000 0.0000
0.0000 0.5000 0.0000
0.0000 0.0000 0.5000
0.5000 0.0000 0.0000
0.5000 0.5000 0.5000
```

Output
Fermi-level density of states ... 9.23 states/eV/cell
Energy above the lowest structure with this stoichiometry ... 0 meV/atom
Space-group type ... Pm-3m (221)
Uncorrected energy ... -2.4257 eV per atom
Energy of formation ... 0.805 eV per atom
Total magnetic moment ... 0.0 μB per cell

***

4.
This record from Alexandria via LeMat-Bulk describes a relaxed structure of ScInFe2. The functional is PBE.

The structure in POSCAR format:
```
ScInFe2
1.0
-7.6263 -4.5730 1.0593
-5.7786 -6.8332 0.3338
-5.9503 -5.8866 3.1840
Fe In Sc
2 1 1
Direct
0.0005 0.0005 0.0005
0.4995 0.4995 0.4995
0.2500 0.2500 0.2500
0.7500 0.7500 0.7500
```

Output
Fermi-level density of states ... 5.32 states/eV/cell
Space-group type ... R-3m (166)
Uncorrected energy ... -6.1496 eV per atom
Energy of formation ... 0.349 eV per atom
Total magnetic moment ... 4.4 μB per cell